# SrCuNiSe3

A relaxed structure of SrCuNiSe3 (PBE, OQMD via LeMat-Bulk). Values from VASP.

```
&SYSTEM
  ibrav = 0, nat = 12, ntyp = 4
/
ATOMIC_SPECIES
Se 78.96 Se.upf
Ni 58.69 Ni.upf
Sr 87.62 Sr.upf
Cu 63.55 Cu.upf
CELL_PARAMETERS angstrom
7.754 0.000 0.000
0.000 3.924 0.000
-2.455 0.000 8.398
ATOMIC_POSITIONS crystal
Se 0.243 0.250 0.449
Ni 0.833 0.750 0.849
Sr 0.702 0.250 0.254
Se 0.958 0.750 0.133
Se 0.042 0.250 0.867
Se 0.757 0.750 0.551
Ni 0.167 0.250 0.151
Se 0.375 0.750 0.124
Cu 0.577 0.250 0.587
Cu 0.423 0.750 0.413
Sr 0.298 0.750 0.746
Se 0.625 0.250 0.876
```

Magnetic moment: 0.148 μB/atom
ρ: 5.807 g/cm3
Space-group type: P2_1/m (11)
Uncorrected energy: -4.262 eV per atom